Entry 1:
VASP calculation (PBE) on crystalline CaPtSe2 at its relaxed geometry.

Cell: 3.9007 7.5028 7.0633 Å, 90.00 90.00 90.00°
Closest atoms and distances in Å follow each position.
Space group Cmmm (No. 65)
Inequivalent atoms, fractional coordinates:
Ca 0.0000 0.0000 0.0000  4 Se 2.79
Pt 0.0000 0.0000 0.5000  4 Se 2.49
Se 0.0000 0.5000 0.2815  2 Pt 2.49, 2 Ca 2.79

## Properties
formation energy without anion corrections = -16.03 kcal/mol of atoms

***

Entry 2:
VASP calculation (PBE) on crystalline Ca2SiPtSe at its relaxed geometry.

Cell: 5.5876 5.5876 4.5927 Å, 90.00 90.00 90.00°
Closest atoms and distances in Å follow each position.
Space group P4/mmm (No. 123)
Inequivalent atoms, fractional coordinates:
Ca 0.0000 0.5000 0.0000  2 Si 2.79
Si 0.0000 0.0000 0.0000  2 Se 2.30
Pt 0.5000 0.5000 0.5000  8 Ca 3.62, 4 Se 3.95
Se 0.0000 0.0000 0.5000  2 Si 2.30

## Properties
formation energy without anion corrections = -0.09 kcal/mol of atoms

***

formation energy without anion corrections of number 2 (Ca2SiPtSe)?
-0.09 kcal/mol of atoms

***

Which value of formation energy without anion corrections does entry 2 give?
-0.09 kcal/mol of atoms

***

Which of these has the lowest formation energy without anion corrections?
CaPtSe2